No. 1
Density functional theory data (GGA-PBE) for crystalline KNb5Se8 at its relaxed geometry.

```
KNb5Se8
1.0
0.015 -2.627 -2.315
1.347 -6.179 7.020
-9.386 1.936 0.390
K Nb Se
1 5 8
Cartesian
-8.705 -2.464 2.739
-4.543 -3.542 3.989
-3.481 -3.329 1.106
-5.414 -5.718 6.452
-2.610 -1.152 -1.358
0.000 0.000 0.000
-4.303 -0.686 0.750
-3.721 -6.185 4.346
-2.161 -2.935 3.316
-5.863 -3.936 1.780
-0.494 -4.892 5.548
-7.530 -1.978 -0.453
-6.985 -4.423 4.972
-1.040 -2.448 0.122
```

Calculated values
- Volume: 302.5 Å³/f.u.
- Calculated total energy: -6.578 eV/atom
- Magnetization: 0.00 μB per cell
- Energy relative to the elements, uncorrected: -0.912 eV/atom

---

No. 2
Density functional theory data (GGA-PBE) for crystalline CdCu2Ru at its relaxed geometry.

```
CdCu2Ru
1.0
4.716 0.035 0.000
-1.411 4.500 0.000
0.000 0.000 2.718
Cd Cu Ru
1 2 1
Cartesian
-0.705 2.250 1.359
0.000 0.000 0.000
1.653 2.267 0.000
2.358 0.017 1.359
```

Calculated values
- Formation energy from the elements: 24.6 kJ/mol of atoms
- Volume: 57.8 Å³/f.u.
- Calculated total energy: -4.341 eV/atom
- Magnetization: 0.00 μB per cell

---

No. 3
Density functional theory data (GGA-PBE) for crystalline BeSbP2O at its relaxed geometry.

```
BeSbP2O
1.0
-4.386 2.097 1.886
-2.377 -0.871 -4.559
-0.858 -2.654 0.954
Sb Be O P
1 1 1 2
Cartesian
-3.811 -0.714 -0.859
0.000 0.000 0.000
-0.429 -1.327 0.477
-1.189 -0.435 -2.279
-2.193 1.048 0.943
```

Calculated values
- Volume: 80.1 Å³/f.u.
- Calculated total energy: -4.809 eV/atom
- Magnetization: 0.00 μB per cell
- Energy relative to the elements, uncorrected: -0.083 eV/atom